Density functional theory data (GGA-PBE) for crystalline HfTi2AlC at its relaxed geometry.

Computed properties:
- ΔH_f (0 K): -2.8 eV per formula unit
- Symmetry: P4/mmm, No. 123
- DFT total energy: -41.5 eV/cell

Cell: 4.202 4.202 4.445 Å, 90.00 90.00 90.00°
Element x y z (fractional)
Hf (0.000, 0.000, 0.000)
Ti (0.000, 0.500, 0.500)
Ti (0.500, 0.000, 0.500)
Al (0.500, 0.500, 0.000)
C (0.000, 0.000, 0.500)



Density functional theory data (GGA-PBE) for crystalline SrOsRu at its relaxed geometry.

Computed properties:
- ΔH_f (0 K): 0.8 eV per formula unit
- Symmetry: P2_1/m, No. 11
- Energy above the most stable polymorph in this dataset: 0.013 eV/atom
- DFT total energy: -42.8 eV/cell

Cell: 4.455 4.314 7.570 Å, 90.00 93.04 90.00°
Element x y z (fractional)
Sr (0.246, 0.250, 0.338)
Sr (0.754, 0.750, 0.662)
Os (0.191, 0.750, 0.003)
Os (0.809, 0.250, 0.997)
Ru (0.324, 0.250, 0.850)
Ru (0.676, 0.750, 0.150)



Density functional theory data (GGA-PBE) for crystalline CsMg14C at its relaxed geometry.

Computed properties:
- ΔH_f (0 K): 7.2 eV per formula unit
- Symmetry: P-6m2, No. 187
- Energy above the most stable polymorph in this dataset: 0.100 eV/atom
- DFT total energy: -25.2 eV/cell

Cell: 6.534 6.534 10.504 Å, 90.00 90.00 120.00°
Element x y z (fractional)
Cs (0.000, 0.000, 0.000)
Mg (0.009, 0.504, 0.000)
Mg (0.155, 0.311, 0.300)
Mg (0.155, 0.311, 0.700)
Mg (0.155, 0.845, 0.300)
Mg (0.155, 0.845, 0.700)
Mg (0.496, 0.504, 0.000)
Mg (0.496, 0.991, 0.000)
Mg (0.514, 0.027, 0.500)
Mg (0.514, 0.486, 0.500)
Mg (0.667, 0.333, 0.243)
Mg (0.667, 0.333, 0.757)
Mg (0.689, 0.845, 0.300)
Mg (0.689, 0.845, 0.700)
Mg (0.973, 0.486, 0.500)
C (0.000, 0.000, 0.500)



Density functional theory data (GGA-PBE) for crystalline Li2Ti2Si at its relaxed geometry.

Computed properties:
- Symmetry: I4/mmm, No. 139
- Energy above the most stable polymorph in this dataset: 0.000 eV/atom
- Formation energy (no corrections): 0.23 eV per atom
- DFT total energy: -23.9 eV/cell

Cell: 8.229 8.229 8.229 Å, 156.83 156.83 32.99°
Element x y z (fractional)
Li (0.250, 0.750, 0.500)
Li (0.750, 0.250, 0.500)
Ti (0.082, 0.082, 0.000)
Ti (0.918, 0.918, 0.000)
Si (0.500, 0.500, 0.000)



Density functional theory data (GGA-PBE) for crystalline Ac6In3Ir2 at its relaxed geometry.

Computed properties:
- ΔH_f (0 K): -3.9 eV per formula unit
- Symmetry: I4/mmm, No. 139
- DFT total energy: -54.5 eV/cell

Cell: 12.578 12.578 12.578 Å, 153.51 153.51 37.81°
Element x y z (fractional)
Ac (0.082, 0.582, 0.500)
Ac (0.195, 0.195, 0.000)
Ac (0.418, 0.918, 0.500)
Ac (0.582, 0.082, 0.500)
Ac (0.805, 0.805, 0.000)
Ac (0.918, 0.418, 0.500)
In (0.334, 0.334, 0.000)
In (0.500, 0.500, 0.000)
In (0.666, 0.666, 0.000)
Ir (0.060, 0.060, 0.000)
Ir (0.940, 0.940, 0.000)



Density functional theory data (GGA-PBE) for crystalline La2SbPt3 at its relaxed geometry.

Computed properties:
- Symmetry: Fmmm, No. 69
- Formation energy (no corrections): -1.07 eV per atom
- DFT total energy: -77.1 eV/cell

Cell: 9.124 8.869 6.128 Å, 72.34 67.87 39.79°
Element x y z (fractional)
La (0.235, 0.765, 0.765)
La (0.250, 0.250, 0.250)
La (0.750, 0.750, 0.750)
La (0.765, 0.235, 0.235)
Sb (0.335, 0.335, 0.665)
Sb (0.665, 0.665, 0.335)
Pt (0.165, 0.668, 0.332)
Pt (0.167, 0.167, 0.833)
Pt (0.332, 0.835, 0.165)
Pt (0.668, 0.165, 0.835)
Pt (0.833, 0.833, 0.167)
Pt (0.835, 0.332, 0.668)



Density functional theory data (GGA-PBE) for crystalline TiTlHg2 at its relaxed geometry.

Computed properties:
- ΔH_f (0 K): 0.6 eV per formula unit
- Symmetry: P4/mmm, No. 123
- DFT total energy: -10.3 eV/cell

Cell: 4.354 4.354 4.527 Å, 90.00 90.00 90.00°
Element x y z (fractional)
Ti (0.000, 0.000, 0.000)
Tl (0.500, 0.500, 0.000)
Hg (0.000, 0.500, 0.500)
Hg (0.500, 0.000, 0.500)



Density functional theory data (GGA-PBE) for crystalline Sm2MnC4 at its relaxed geometry.

Computed properties:
- ΔH_f (0 K): -1.3 eV per formula unit
- Symmetry: Ibam, No. 72
- DFT total energy: -113.7 eV/cell

Cell: 6.777 6.777 6.777 Å, 111.55 85.52 135.30°
Element x y z (fractional)
Sm (0.145, 0.159, 0.304)
Sm (0.355, 0.659, 0.015)
Sm (0.645, 0.341, 0.985)
Sm (0.855, 0.841, 0.696)
Mn (0.250, 0.750, 0.500)
Mn (0.750, 0.250, 0.500)
C (0.079, 0.667, 0.746)
C (0.126, 0.836, 0.962)
C (0.374, 0.336, 0.711)
C (0.421, 0.167, 0.589)
C (0.579, 0.833, 0.411)
C (0.626, 0.664, 0.289)
C (0.874, 0.164, 0.038)
C (0.921, 0.333, 0.254)